PmTm2In4 after structural relaxation. Source: Alexandria, functional PBE. Values from VASP.

The structure in Quantum ESPRESSO input format:
```
&SYSTEM
  ibrav = 0, nat = 7, ntyp = 3
/
ATOMIC_SPECIES
In 114.82 In.upf
Tm 168.93 Tm.upf
Pm 145.00 Pm.upf
CELL_PARAMETERS angstrom
-2.508 3.459 -4.810
-4.869 -2.424 3.437
3.791 3.883 3.457
ATOMIC_POSITIONS angstrom
In -1.793 2.459 1.042
In -2.434 -1.212 1.718
In -1.254 1.730 -2.405
In 1.895 1.941 1.728
Tm 0.641 3.671 -0.677
Tm -3.689 0.518 -0.686
Pm 0.000 0.000 0.000
```

calculated formation energy = -0.301 eV per atom
Fermi-level density of states = 6.21 states/eV/cell
electronic total energy = -3.822 eV per atom